Be3CrH after structural relaxation, computed with GGA-PBE.

```
data_Be3CrH
_cell_length_a 4.454
_cell_length_b 4.454
_cell_length_c 4.454
_cell_angle_alpha 90.00
_cell_angle_beta 90.00
_cell_angle_gamma 90.00
_space_group_name_H-M_alt 'P m -3 m'
_space_group_IT_number 221
_space_group_name_Hall '-P 4 2 3'
loop_
_atom_site_label
_atom_site_type_symbol
_atom_site_fract_x
_atom_site_fract_y
_atom_site_fract_z
Be1 Be 0.000 0.000 0.500
Cr1 Cr 0.000 0.000 0.000
H1 H 0.500 0.500 0.500
```

Computed properties:
- size of the total moment (μB per atom) = 0.928
- polymorph energy (0 for the lowest one) (eV/atom) = 1.804